Computed, not measured: an optimized crystal structure of ThCo2Ni2 at the GGA-PBE level of DFT.

Cell and atoms, written as POSCAR:
```
ThCo2Ni2
1.0
-1.9417 1.9417 10.0901
1.9417 -1.9417 10.0901
1.9417 1.9417 -10.0901
Th Co Ni
2 4 4
Cartesian
0.0000 0.0000 2.3981 Th
0.0000 0.0000 17.7820 Th
1.9417 0.0000 5.0450 Co
0.0000 0.0000 8.7138 Co
0.0000 0.0000 11.4663 Co
0.0000 1.9417 5.0450 Co
1.9417 0.0000 0.0000 Ni
0.0000 0.0000 6.4195 Ni
0.0000 1.9417 0.0000 Ni
0.0000 0.0000 13.7606 Ni
```

Properties
Energy of formation, eV/atom: -0.137
N(E_F), states/eV/cell: 15.8
Electronic total energy, eV for the cell shown: -67.75